LiAg2Sb: optimized geometry, PBE-GGA.

D(E_F)   1.9 states/eV/f.u.
M_tot   0.00 Bohr magnetons per cell
Energy   -3.06 eV per atom

Geometry as CIF:
```
data_LiAg2Sb
_chemical_formula_sum 'Li1 Ag2 Sb1'
_cell_length_a 3.226
_cell_length_b 4.127
_cell_length_c 5.837
_cell_angle_alpha 90.00
_cell_angle_beta 90.00
_cell_angle_gamma 90.00
_symmetry_space_group_name_H-M 'P m m 2'
_symmetry_Int_Tables_number 25
loop_
_symmetry_equiv_pos_as_xyz
'x,y,z'
'-x,-y,z'
'-x,y,z'
'x,-y,z'
loop_
_atom_site_label
_atom_site_type_symbol
_atom_site_fract_x
_atom_site_fract_y
_atom_site_fract_z
Li1 Li 0.000 0.000 0.000
Ag1 Ag 0.000 0.000 0.517
Ag2 Ag 0.500 0.500 0.755
Sb1 Sb 0.500 0.500 0.247
```